Entry 1
Crystalline CsGa3Ni at its relaxed geometry, computed with PBE.

The structure belongs to space group Pm-3m (No. 221); the cell edges are 4.876, 4.876 and 4.876 Å and the angles 90.00°, 90.00° and 90.00°. The inequivalent atoms are Cs at (0.000, 0.000, 0.000), Ga at (0.000, 0.500, 0.500) and Ni at (0.500, 0.500, 0.500).

For the total moment, the calculation gives 0.000 μB per atom. The density of states at the Fermi level is 0.316 states/eV per atom.

Entry 2
Crystalline CsGa3Ni at its relaxed geometry, computed with PBE.

The structure belongs to space group Pm-3m (No. 221); the cell edges are 5.955, 5.955 and 5.955 Å and the angles 90.00°, 90.00° and 90.00°. The inequivalent atoms are Cs at (0.000, 0.000, 0.000), Ga at (0.000, 0.000, 0.500) and Ni at (0.500, 0.500, 0.500).

For the total moment, the calculation gives 0.000 μB per atom. The density of states at the Fermi level is 1.669 states/eV per atom.

Going by the energies, entry 1 is most stable and the next is 171.4 kJ/mol of atoms up.

Entry 1
Crystalline Cs2GaO at its relaxed geometry, computed with PBE.

The structure belongs to space group Fm-3m (No. 225); the cell edges are 8.025, 8.025 and 8.025 Å and the angles 90.00°, 90.00° and 90.00°. The inequivalent atoms are Cs at (0.250, 0.250, 0.250), Ga at (0.000, 0.000, 0.000) and O at (0.000, 0.000, 0.500).

For the total moment, the calculation gives 0.129 μB per atom. The density of states at the Fermi level is 0.836 states/eV per atom.

Entry 2
Crystalline Cs2GaO at its relaxed geometry, computed with PBE.

The structure belongs to space group I-42d (No. 122); the cell edges are 13.008, 13.008 and 4.120 Å and the angles 90.00°, 90.00° and 90.00°. The inequivalent atoms are Cs at (0.025, 0.250, 0.125), Ga at (0.000, 0.000, 0.500) and O at (0.000, 0.000, 0.000).

For the total moment, the calculation gives 0.001 μB per atom. The density of states at the Fermi level is 0.947 states/eV per atom.

Going by the energies, entry 2 is most stable and the next is 51.6 kJ/mol of atoms up.

Entry 1
Crystalline CsGaOs3 at its relaxed geometry, computed with PBE.

The structure belongs to space group Pm-3m (No. 221); the cell edges are 5.040, 5.040 and 5.040 Å and the angles 90.00°, 90.00° and 90.00°. The inequivalent atoms are Cs at (0.000, 0.000, 0.000), Ga at (0.500, 0.500, 0.500) and Os at (0.000, 0.000, 0.500).

For the total moment, the calculation gives 1.055 μB per atom. The density of states at the Fermi level is 1.567 states/eV per atom.

Entry 2
Crystalline CsGaOs3 at its relaxed geometry, computed with PBE.

The structure belongs to space group Pm-3m (No. 221); the cell edges are 4.790, 4.790 and 4.790 Å and the angles 90.00°, 90.00° and 90.00°. The inequivalent atoms are Cs at (0.000, 0.000, 0.000), Ga at (0.500, 0.500, 0.500) and Os at (0.000, 0.500, 0.500).

For the total moment, the calculation gives 0.667 μB per atom. The density of states at the Fermi level is 1.319 states/eV per atom.

Going by the energies, entry 2 is most stable and the next is 157.5 kJ/mol of atoms up.

Entry 1
Crystalline Cs2GaP2 at its relaxed geometry, computed with PBE.

The structure belongs to space group Ibam (No. 72); the cell edges are 7.623, 14.397 and 6.525 Å and the angles 90.00°, 90.00° and 90.00°. The inequivalent atoms are Cs at (0.171, 0.148, 0.000), Ga at (0.000, 0.500, 0.250) and P at (0.164, 0.410, 0.000).

For the total moment, the calculation gives 0.206 μB per atom. The density of states at the Fermi level is 0.661 states/eV per atom.

Entry 2
Crystalline Cs2GaP2 at its relaxed geometry, computed with PBE.

The structure belongs to space group P4/mbm (No. 127); the cell edges are 7.280, 7.280 and 5.909 Å and the angles 90.00°, 90.00° and 90.00°. The inequivalent atoms are Cs at (0.184, 0.316, 0.000), Ga at (0.000, 0.000, 0.500) and P at (0.104, 0.604, 0.500).

For the total moment, the calculation gives 0.000 μB per atom. The density of states at the Fermi level is 0.429 states/eV per atom.

Going by the energies, entry 1 is most stable and the next is 23.1 kJ/mol of atoms up.

Entry 1
Crystalline Cs3GaP2 at its relaxed geometry, computed with PBE.

The structure belongs to space group P2_1/c (No. 14); the cell edges are 11.365, 8.886 and 19.234 Å and the angles 90.00°, 100.24° and 90.00°. The inequivalent atoms are Cs at (0.080, 0.052, 0.241), Cs at (0.150, 0.540, 0.966), Cs at (0.258, 0.105, 0.922), Cs at (0.289, 0.120, 0.660), Cs at (0.363, 0.746, 0.292), Cs at (0.376, 0.583, 0.607), Ga at (0.045, 0.618, 0.556), Ga at (0.462, 0.054, 0.424), P at (0.048, 0.150, 0.064), P at (0.102, 0.706, 0.140), P at (0.402, 0.138, 0.311) and P at (0.495, 0.697, 0.969).

For the total moment, the calculation gives 0.000 μB per atom.

Entry 2
Crystalline Cs3GaP2 at its relaxed geometry, computed with PBE.

The structure belongs to space group Ibam (No. 72); the cell edges are 8.401, 15.475 and 6.892 Å and the angles 90.00°, 90.00° and 90.00°. The inequivalent atoms are Cs at (0.000, 0.000, 0.250), Cs at (0.201, 0.325, 0.000), Ga at (0.000, 0.500, 0.250) and P at (0.161, 0.421, 0.500).

For the total moment, the calculation gives 0.000 μB per atom.

Going by the energies, entry 1 is most stable and the next is 6.7 kJ/mol of atoms up.

Entry 1
Crystalline Cs3Ga2P4 at its relaxed geometry, computed with PBE.

The structure belongs to space group C2/m (No. 12); the cell edges are 17.446, 4.119 and 8.264 Å and the angles 90.00°, 112.93° and 90.00°. The inequivalent atoms are Cs at (0.000, 0.000, 0.000), Cs at (0.154, 0.000, 0.772), Ga at (0.170, 0.500, 0.430), P at (0.020, 0.500, 0.393) and P at (0.201, 0.000, 0.301).

For the total moment, the calculation gives 0.000 μB per atom. The density of states at the Fermi level is 0.145 states/eV per atom.

Entry 2
Crystalline Cs3Ga2P4 at its relaxed geometry, computed with PBE.

The structure belongs to space group C2/c (No. 15); the cell edges are 14.257, 11.071 and 7.593 Å and the angles 90.00°, 103.07° and 90.00°. The inequivalent atoms are Cs at (0.000, 0.083, 0.250), Cs at (0.113, 0.364, 0.561), Ga at (0.211, 0.113, 0.031), P at (0.161, 0.323, 0.115) and P at (0.208, 0.084, 0.703).

For the total moment, the calculation gives 0.000 μB per atom. The density of states at the Fermi level is 0.287 states/eV per atom.

Going by the energies, entry 1 is most stable and the next is 5.8 kJ/mol of atoms up.